one:
Here is a relaxed structure of Al3RuN from the Alexandria database. Energies are from GGA-PBE.

Lattice parameters (Å, degrees): 3.953 3.953 3.953 90.00 90.00 90.00
Fractional positions:
1 Al 0.000 0.000 0.500
2 Al 0.000 0.500 0.000
3 Al 0.500 0.000 0.000
4 Ru 0.500 0.500 0.500
5 N 0.000 0.000 0.000

## Properties
Its total magnetization is 0.00 μB/atom.

two:
Here is a relaxed structure of Al3RuN from the Alexandria database. Energies are from GGA-PBE.

Lattice parameters (Å, degrees): 4.705 4.705 4.705 90.00 90.00 90.00
Fractional positions:
1 Al 0.000 0.000 0.500
2 Al 0.000 0.500 0.000
3 Al 0.500 0.000 0.000
4 Ru 0.000 0.000 0.000
5 N 0.500 0.500 0.500

## Properties
Its total magnetization is 0.48 μB/atom.

Stability summary - winner: one; margin: 1.202 eV/atom.